First-principles (GGA-PBE) data for an optimized crystal structure of TbDy2PaRu2, as listed in Alexandria via LeMat-Bulk.

Calculated values
Space group: No. 72
Formation energy from the elements: -0.29 eV per atom
DFT total energy: -7.269 eV per atom
Size of the total moment: 0.00 μB/f.u.

a = 6.718 Å, b = 6.883 Å, c = 8.328 Å
α = 114.41°, β = 113.79°, γ = 90.00°
Fractional positions:
Tb1 0.250 0.000 0.000
Tb2 0.750 0.000 0.000
Dy1 0.697 0.891 0.393
Dy2 0.197 0.502 0.393
Dy3 0.803 0.498 0.607
Dy4 0.303 0.109 0.607
Pa1 0.750 0.500 0.000
Pa2 0.250 0.500 0.000
Ru1 0.397 0.602 0.794
Ru2 0.603 0.398 0.206
Ru3 0.103 0.808 0.206
Ru4 0.897 0.192 0.794